{
  "formula": "CoTe2Br",
  "functional": "GGA-PBE",
  "state": "relaxed",
  "lattice": [[-5.343, 2.285, 2.822], [-5.526, -3.814, -7.375], [-0.600, -5.420, 3.252]],
  "species": ["Te", "Te", "Te", "Te", "Te", "Te", "Te", "Te", "Br", "Br", "Br", "Br", "Co", "Co", "Co", "Co"],
  "frac_coords": [[0.837, 0.024, 0.111], [0.481, 0.191, 0.560], [0.663, 0.524, 0.611], [0.163, 0.976, 0.611], [0.519, 0.809, 0.060], [0.981, 0.309, 0.560], [0.337, 0.476, 0.111], [0.019, 0.691, 0.060], [0.309, 0.129, 0.076], [0.191, 0.629, 0.576], [0.691, 0.871, 0.576], [0.809, 0.371, 0.076], [0.330, 0.414, 0.502], [0.170, 0.914, 0.002], [0.830, 0.086, 0.502], [0.670, 0.586, 0.002]],
  "formation_energy_uncorrected_ev_per_fu": -0.24,
  "e_above_lowest_polymorph_ev_per_atom": 0.132,
  "mass_density_g_cm3": 6.40,
  "spacegroup": "Pna2_1 (33)"
}